Here is Co3TcF after structural relaxation from the Alexandria database. Energies are from PBE+U.

Properties
* E above lowest polymorph: 829 meV/atom
* total magnetic moment: 7.0 μB/cell

Lattice parameters (Å, degrees): 4.641 4.641 4.641 90.00 90.00 90.00
Fractional positions:
Co 0.500 0.000 0.000
Co 0.000 0.000 0.500
Co 0.000 0.500 0.000
F 0.500 0.500 0.500
Tc 0.000 0.000 0.000